# 1
The following is a DFT calculation (GGA-PBE) of an optimized crystal structure of AcGe3Rh2.

Lattice parameters (Å, degrees): 10.2562 8.0025 5.6981 90.00 90.00 90.00
With the nearest neighbours (Å) after each atom.
Space group Cmcm (No. 63)
Unique sites:
Ac 0.0000 0.1659 0.2500 (multiplicity 4)  7 Ge 3.14-3.43
Ge 0.0000 0.4416 0.7500 (multiplicity 4)  2 Ge 2.59, 4 Rh 2.65
Ge 0.1825 0.2180 0.7500 (multiplicity 8)  4 Rh 2.49-2.69, 1 Ge 2.59
Rh 0.2133 0.5000 0.0000 (multiplicity 8)  6 Ge 2.49-2.69

Values from the calculation:
Uncorrected energy in eV per atom: -6.04
Calculated formation energy in kJ/mol of atoms: -58
Density of states at the Fermi level in states/eV/cell: 12.22
Excess energy over the best structure of this formula in the dataset in kJ per mole of atoms: 0.0



# 2
The following is a DFT calculation (GGA-PBE) of an optimized crystal structure of Ac7Ge2Rh2.

Lattice parameters (Å, degrees): 4.4654 16.2286 10.0352 90.00 90.00 90.00
With the nearest neighbours (Å) after each atom.
Space group Imm2 (No. 44)
Unique sites:
Ac 0.0000 0.0000 0.0000 (multiplicity 2)  2 Rh 3.00
Ac 0.0000 0.1088 0.3838 (multiplicity 4)  3 Rh 3.21-3.39, 2 Ge 3.34, 1 Ac 3.53
Ac 0.0000 0.3135 0.6066 (multiplicity 4)  3 Ge 3.15-3.20, 1 Rh 3.17
Ac 0.0000 0.3785 0.2164 (multiplicity 4)  2 Rh 3.05
Ge 0.0000 0.2386 0.9013 (multiplicity 4)  7 Ac 3.15-3.47
Rh 0.0000 0.0000 0.6503 (multiplicity 2)  6 Ac 3.05-3.21
Rh 0.0000 0.5000 0.6994 (multiplicity 2)  4 Ac 3.00-3.17

Values from the calculation:
Uncorrected energy in eV per atom: -5.30
Calculated formation energy in kJ/mol of atoms: -49
Density of states at the Fermi level in states/eV/cell: 21.84
Excess energy over the best structure of this formula in the dataset in kJ per mole of atoms: 0.0